Entry 1:
## Pa4GeOs (PBE)

Data for a relaxed structure of Pa4GeOs.

Geometry as extended XYZ:
```
12
Lattice="6.8833 0.0000 0.0000 0.0000 6.8833 0.0000 0.0000 0.0000 5.7857" Properties=species:S:1:pos:R:3 pbc="T T T"
Pa 0.9575 2.3739 0.0000
Pa 0.9575 4.5094 2.8929
Pa 2.3739 0.9575 2.8929
Pa 2.3739 5.9258 0.0000
Pa 4.5094 0.9575 0.0000
Pa 4.5094 5.9258 2.8929
Pa 5.9258 2.3739 2.8929
Pa 5.9258 4.5094 0.0000
Ge 3.4416 3.4416 1.4464
Ge 3.4416 3.4416 4.3393
Os 0.0000 0.0000 1.4464
Os 0.0000 0.0000 4.3393
```

## Properties
excess energy over the best structure of this formula in the dataset	0.000	eV/atom
ΔE_f	-0.319	eV/atom
calculated volume	274.1	Å³/cell
VASP energy	-0.68289	Ry per atom



Entry 2:
## ScTaBeN2 (PBE)

Data for a relaxed structure of ScTaBeN2.

Geometry as extended XYZ:
```
5
Lattice="3.8102 0.0000 0.0000 0.0000 3.8102 0.0000 0.0000 0.0000 4.1321" Properties=species:S:1:pos:R:3 pbc="T T T"
Sc 0.0000 0.0000 0.0000
Ta 1.9051 1.9051 0.0000
Be 1.9051 1.9051 2.0660
N 0.0000 1.9051 2.0660
N 1.9051 0.0000 2.0660
```

## Properties
formation energy from raw total energies	1177.2	meV/atom
calculated volume	60.0	Å³/cell
VASP energy	-0.48032	Ry per atom



Entry 3:
## NdEr2Tl3Se6 (PBE)

Data for a relaxed structure of NdEr2Tl3Se6.

Geometry as extended XYZ:
```
12
Lattice="3.6484 -6.3170 0.0000 3.6484 6.3170 0.0000 -2.4323 0.0000 7.7695" Properties=species:S:1:pos:R:3 pbc="T T T"
Nd 0.0000 0.0000 0.0000
Er 3.6484 2.1072 0.0000
Er 3.6484 -2.1072 0.0000
Tl 2.4323 4.2394 3.8848
Tl 2.4323 0.0000 3.8848
Tl 2.4323 -4.2394 3.8848
Se 1.2546 2.1722 1.5991
Se 0.0762 0.0000 6.1880
Se 1.2546 -2.1722 1.5991
Se 3.6100 2.1722 6.1705
Se 4.7884 0.0000 1.5815
Se 3.6100 -2.1722 6.1705
```

## Properties
formation energy from raw total energies	-1377.1	meV/atom
calculated volume	358.1	Å³/cell
VASP energy	-0.35784	Ry per atom



Entry 4:
## SiAsC2 (PBE)

Data for a relaxed structure of SiAsC2.

Geometry as extended XYZ:
```
8
Lattice="-2.2916 2.2916 4.4917 2.2916 -2.2916 4.4917 2.2916 2.2916 -4.4917" Properties=species:S:1:pos:R:3 pbc="T T T"
Si 0.0000 0.0000 0.0000
Si 0.0000 2.2916 2.2458
As 2.2916 0.0000 2.2458
As 0.0000 0.0000 4.4917
C 3.4375 1.0025 -1.1229
C 1.0025 1.1458 1.1229
C -1.1458 1.2891 3.3688
C 1.2891 1.1458 5.6146
```

## Properties
excess energy over the best structure of this formula in the dataset	0.101	eV/atom
formation energy from raw total energies	652.8	meV/atom
calculated volume	94.4	Å³/cell
VASP energy	-0.47607	Ry per atom



Entry 5:
## ErSi2IrRu (PBE)

Data for a relaxed structure of ErSi2IrRu.

Geometry as extended XYZ:
```
5
Lattice="-2.0627 2.0627 4.8475 2.0627 -2.0627 4.8475 2.0627 2.0627 -4.8475" Properties=species:S:1:pos:R:3 pbc="T T T"
Er 0.0000 0.0000 0.0000
Si 0.0000 0.0000 3.6270
Si 0.0000 0.0000 6.0680
Ir 2.0627 0.0000 2.4238
Ru 0.0000 2.0627 2.4238
```

## Properties
formation energy from raw total energies	-1024.4	meV/atom
calculated volume	82.5	Å³/cell
VASP energy	-0.56840	Ry per atom



Entry 6:
## TbTmZnSi (PBE)

Data for a relaxed structure of TbTmZnSi.

Geometry as extended XYZ:
```
4
Lattice="0.0000 3.5000 3.5000 3.5000 0.0000 3.5000 3.5000 3.5000 0.0000" Properties=species:S:1:pos:R:3 pbc="T T T"
Tb 0.0000 0.0000 0.0000
Tm 3.5000 3.5000 3.5000
Zn 1.7500 1.7500 1.7500
Si 5.2500 5.2500 5.2500
```

## Properties
excess energy over the best structure of this formula in the dataset	0.113	eV/atom
formation energy from raw total energies	-454.1	meV/atom
calculated volume	85.8	Å³/cell
VASP energy	-0.32367	Ry per atom



Entry 7:
## Cd12Hg6Bi (PBE)

Data for a relaxed structure of Cd12Hg6Bi.

Geometry as extended XYZ:
```
19
Lattice="5.1655 2.9823 5.2151 -5.1655 2.9823 5.2151 0.0000 -5.9646 5.2151" Properties=species:S:1:pos:R:3 pbc="T T T"
Cd -3.4529 0.5115 6.1247
Cd -1.1048 -1.4104 6.5154
Cd -2.1695 -2.7346 9.5205
Cd 1.2835 -3.2461 6.1247
Cd -1.7738 0.2516 9.1298
Cd -0.6690 1.6619 6.5154
Cd 0.6690 -1.6619 9.1298
Cd 1.7738 -0.2516 6.5154
Cd -1.2835 3.2461 9.5205
Cd 2.1695 2.7346 6.1247
Cd 1.1048 1.4104 9.1298
Cd 3.4529 -0.5115 9.5205
Hg -1.7388 0.2913 3.5355
Hg 0.6172 -1.6515 3.5355
Hg 1.1217 1.3602 3.5355
Hg -1.1217 -1.3602 12.1097
Hg -0.6172 1.6515 12.1097
Hg 1.7388 -0.2913 12.1097
Bi 0.0000 0.0000 0.0000
```

## Properties
excess energy over the best structure of this formula in the dataset	0.000	eV/atom
ΔE_f	0.040	eV/atom
calculated volume	482.0	Å³/cell
VASP energy	-0.06153	Ry per atom



Entry 8:
## Tm2RhAu (PBE)

Data for a relaxed structure of Tm2RhAu.

Geometry as extended XYZ:
```
4
Lattice="3.4805 0.0000 0.0000 0.0000 3.4805 0.0000 0.0000 0.0000 6.8939" Properties=species:S:1:pos:R:3 pbc="T T T"
Tm 0.0000 0.0000 1.6332
Tm 0.0000 0.0000 5.2607
Rh 1.7403 1.7403 0.0000
Au 1.7403 1.7403 3.4470
```

## Properties
ΔE_f	-0.909	eV/atom
calculated volume	83.5	Å³/cell
VASP energy	-0.42641	Ry per atom



Entry 9:
## Na2YCdSn2 (PBE)

Data for a relaxed structure of Na2YCdSn2.

Geometry as extended XYZ:
```
12
Lattice="4.8307 0.0000 0.0000 0.0000 9.1526 0.0000 0.0000 0.0000 7.4738" Properties=species:S:1:pos:R:3 pbc="T T T"
Na 0.0000 0.6223 0.0000
Na 0.0000 8.5303 3.7369
Na 2.4153 1.4998 2.2302
Na 2.4153 7.6528 5.9671
Y 2.4153 4.2985 7.1993
Y 2.4153 4.8541 3.4623
Cd 0.0000 2.8078 4.5972
Cd 0.0000 6.3448 0.8603
Sn 0.0000 3.5162 1.7131
Sn 0.0000 5.6364 5.4500
Sn 2.4153 1.6062 5.5089
Sn 2.4153 7.5464 1.7720
```

## Properties
ΔE_f	-0.348	eV/atom
calculated volume	330.4	Å³/cell
VASP energy	-0.24632	Ry per atom



Entry 10:
## Li3VIn (PBE)

Data for a relaxed structure of Li3VIn.

Geometry as extended XYZ:
```
5
Lattice="4.9247 0.0000 0.0000 0.0000 4.9247 0.0000 0.0000 0.0000 4.9247" Properties=species:S:1:pos:R:3 pbc="T T T"
Li 0.0000 0.0000 2.4624
Li 0.0000 2.4624 0.0000
Li 2.4624 0.0000 0.0000
V 2.4624 2.4624 2.4624
In 0.0000 0.0000 0.0000
```

## Properties
excess energy over the best structure of this formula in the dataset	0.000	eV/atom
ΔE_f	0.741	eV/atom
calculated volume	119.4	Å³/cell
VASP energy	-0.20420	Ry per atom



Entry 11:
## CaAs2Se (PBE)

Data for a relaxed structure of CaAs2Se.

Geometry as extended XYZ:
```
4
Lattice="5.4135 -1.7346 0.0000 5.4135 1.7346 0.0000 -0.0825 0.0000 5.3294" Properties=species:S:1:pos:R:3 pbc="T T T"
Ca 0.0000 0.0000 0.0000
As 1.8126 0.0000 2.8199
As 5.3642 0.0000 2.6371
Se 7.8213 0.0000 5.0516
```

## Properties
formation energy from raw total energies	-502.3	meV/atom
calculated volume	100.1	Å³/cell
VASP energy	-0.30859	Ry per atom



Entry 12:
## YLuSe3 (PBE)

Data for a relaxed structure of YLuSe3.

Geometry as extended XYZ:
```
20
Lattice="7.4631 0.0000 0.0000 0.0000 10.3006 0.0000 0.0000 0.0000 6.7958" Properties=species:S:1:pos:R:3 pbc="T T T"
Y 0.7919 2.5752 0.3101
Y 2.9397 7.7255 3.7080
Y 4.5234 2.5752 3.0878
Y 6.6713 7.7255 6.4857
Lu 0.0000 0.0000 3.3979
Lu 0.0000 5.1503 3.3979
Lu 3.7316 0.0000 0.0000
Lu 3.7316 5.1503 0.0000
Se 0.4153 7.7255 2.3315
Se 1.3535 5.9595 5.6325
Se 1.3535 9.4915 5.6325
Se 2.3781 0.8092 2.2346
Se 2.3781 4.3412 2.2346
Se 3.3162 2.5752 5.7294
Se 4.1469 7.7255 1.0664
Se 5.0850 5.9595 4.5612
Se 5.0850 9.4915 4.5612
Se 6.1097 0.8092 1.1633
Se 6.1097 4.3412 1.1633
Se 7.0478 2.5752 4.4643
```

## Properties
excess energy over the best structure of this formula in the dataset	0.048	eV/atom
formation energy from raw total energies	-1832.5	meV/atom
calculated volume	522.4	Å³/cell
VASP energy	-0.44983	Ry per atom



Entry 13:
## YAgTe2N (PBE)

Data for a relaxed structure of YAgTe2N.

Geometry as extended XYZ:
```
5
Lattice="5.5629 0.0000 0.0000 0.0000 5.5629 0.0000 0.0000 0.0000 4.0834" Properties=species:S:1:pos:R:3 pbc="T T T"
Y 0.0000 0.0000 0.0000
Ag 2.7814 2.7814 2.0417
Te 0.0000 2.7814 2.0417
Te 2.7814 0.0000 2.0417
N 2.7814 2.7814 0.0000
```

## Properties
excess energy over the best structure of this formula in the dataset	0.000	eV/atom
formation energy from raw total energies	346.2	meV/atom
calculated volume	126.4	Å³/cell
VASP energy	-0.32623	Ry per atom



Entry 14:
## KTa2Ag (PBE)

Data for a relaxed structure of KTa2Ag.

Geometry as extended XYZ:
```
4
Lattice="3.6211 0.0000 0.0000 0.0000 3.6211 0.0000 0.0000 0.0000 8.2650" Properties=species:S:1:pos:R:3 pbc="T T T"
K 0.0000 0.0000 0.0000
Ta 1.8105 1.8105 2.9310
Ta 1.8105 1.8105 5.3340
Ag 0.0000 0.0000 4.1325
```

## Properties
excess energy over the best structure of this formula in the dataset	0.714	eV/atom
ΔE_f	1.247	eV/atom
calculated volume	108.4	Å³/cell
VASP energy	-0.41645	Ry per atom



Entry 15:
## CeAl3B4O12 (PBE)

Data for a relaxed structure of CeAl3B4O12.

Geometry as extended XYZ:
```
20
Lattice="4.7088 2.7186 2.4720 -4.7088 2.7186 2.4720 0.0000 -5.4372 2.4720" Properties=species:S:1:pos:R:3 pbc="T T T"
Ce 0.0000 0.0000 0.0000
Al -2.6185 -0.9019 2.4720
Al 2.0903 -1.8168 2.4720
Al 0.5282 2.7186 2.4720
B -2.0780 -3.5992 3.7080
B 0.0000 0.0000 3.7080
B -2.0780 3.5992 3.7080
B 4.1560 0.0000 3.7080
O -2.7899 -2.4444 3.5078
O -3.8609 0.0000 3.7080
O -0.7219 -3.6383 3.9082
O -1.3997 0.0000 3.7080
O -2.7899 2.4444 3.9082
O 1.9304 -3.3436 3.7080
O 0.6998 -1.2122 3.7080
O -0.7219 3.6383 3.5078
O 0.6998 1.2122 3.7080
O 3.5118 -1.1940 3.5078
O 1.9304 3.3436 3.7080
O 3.5118 1.1940 3.9082
```

## Properties
formation energy from raw total energies	-2794.9	meV/atom
calculated volume	189.9	Å³/cell
VASP energy	-0.58530	Ry per atom



Entry 16:
## LiPu2N (PBE)

Data for a relaxed structure of LiPu2N.

Geometry as extended XYZ:
```
4
Lattice="1.6631 0.9602 9.5311 -1.6631 0.9602 9.5311 0.0000 -1.9203 9.5311" Properties=species:S:1:pos:R:3 pbc="T T T"
Li 0.0000 0.0000 0.0000
Pu 0.0000 0.0000 3.3177
Pu 0.0000 0.0000 25.2755
N 0.0000 0.0000 14.2966
```

## Properties
formation energy from raw total energies	-394.7	meV/atom
calculated volume	91.3	Å³/cell
VASP energy	-0.74384	Ry per atom



Entry 17:
## La4CeAs5 (PBE)

Data for a relaxed structure of La4CeAs5.

Geometry as extended XYZ:
```
10
Lattice="-4.8594 4.8594 3.0744 4.8594 -4.8594 3.0744 4.8594 4.8594 -3.0744" Properties=species:S:1:pos:R:3 pbc="T T T"
La 2.9175 0.9622 0.0000
La 3.8972 -1.9419 3.0744
La 0.9622 6.8013 0.0000
La 1.9419 3.8972 3.0744
Ce 0.0000 0.0000 3.0744
As 0.0000 0.0000 0.0000
As 5.8071 2.0055 0.0000
As 2.0055 3.9117 0.0000
As 2.8539 0.9477 3.0744
As -0.9477 2.8539 3.0744
```

## Properties
ΔE_f	-1.545	eV/atom
calculated volume	290.4	Å³/cell
VASP energy	-0.47289	Ry per atom



Entry 18:
## TbSm2DySc2 (PBE)

Data for a relaxed structure of TbSm2DySc2.

Geometry as extended XYZ:
```
12
Lattice="6.3143 0.0000 0.0000 0.0000 17.5894 0.0000 0.0000 0.0000 3.3330" Properties=species:S:1:pos:R:3 pbc="T T T"
Tb 0.0000 0.0000 0.0000
Tb 3.1571 8.7947 1.6665
Sm 1.4093 3.3578 0.0000
Sm 1.7478 12.1525 1.6665
Sm 4.5664 5.4369 1.6665
Sm 4.9049 14.2317 0.0000
Dy 0.0000 8.7947 0.0000
Dy 3.1571 0.0000 1.6665
Sc 1.3933 6.2597 1.6665
Sc 1.7639 15.0544 0.0000
Sc 4.5504 2.5350 0.0000
Sc 4.9210 11.3297 1.6665
```

## Properties
ΔE_f	0.274	eV/atom
calculated volume	370.2	Å³/cell
VASP energy	-0.36369	Ry per atom